Entry 1:
10
Lattice="4.0399 0.0000 0.0000 0.0000 5.7933 0.0000 0.0000 0.0000 5.7933" Properties=species:S:1:pos:R:3 comment="Li2PuMnO6 GGA+U relaxed" final_energy_ev_per_atom=-7.424 spacegroup=P4mm pbc="T T T"
O 2.9542 1.4849 4.3085
Mn 2.7819 0.0000 0.0000
O 0.8263 0.0000 0.0000
Li 3.4437 0.0000 2.8967
O 0.8616 2.8967 2.8967
O 2.9542 4.3085 4.3085
Pu 2.8701 2.8967 2.8967
O 2.9542 4.3085 1.4849
Li 3.4437 2.8967 0.0000
O 2.9542 1.4849 1.4849

=====

Entry 2:
9
Lattice="-2.6460 -5.4971 -1.4098 0.9093 -5.9848 -1.6009 -0.7358 -7.0935 4.4107" Properties=species:S:1:pos:R:3 comment="RbLiMn3O4 GGA+U relaxed" final_energy_ev_per_atom=-6.584 spacegroup=Cm pbc="T T T"
O -1.2789 -10.2698 2.4121
Mn -1.4885 -11.0720 0.5593
Rb -0.0141 -0.0952 -0.0203
O -1.7866 -13.2347 0.5313
O -0.6805 -5.3194 0.9131
Mn -0.4645 -3.4156 0.0738
O -1.1777 -8.2063 -0.9707
Mn -0.9844 -7.5657 0.9905
Li -2.0144 -15.1226 1.1106

=====

Entry 3:
27
Lattice="-3.3147 4.6655 2.5103 -5.5792 -5.7747 -0.4883 3.8323 -2.8112 6.4980" Properties=species:S:1:pos:R:3 comment="RbLiMn3O4 GGA+U relaxed" final_energy_ev_per_atom=-6.432 spacegroup=P1 pbc="T T T"
Li -1.0303 0.2561 3.1336
Rb -3.8808 1.8140 4.5037
Mn -2.2361 -5.3504 7.2486
O 0.8616 -0.3461 2.8486
Li -3.9976 -4.1659 5.3838
Li -5.8450 0.3540 1.9737
Rb -5.5413 -5.7195 -0.4697
Mn -3.4059 -1.3147 3.2858
O -2.4526 -0.4821 1.6898
O 0.2902 -3.2144 4.8562
Mn -1.6611 -2.5907 5.2924
Rb -4.4805 -1.1176 6.5456
O -5.3334 -0.6931 3.6664
O -0.9558 -0.7012 8.0946
Mn -1.3178 0.3912 6.3609
Mn 0.9809 -1.2885 7.7858
O -2.0275 -0.6224 4.7023
O -2.6180 -3.4318 6.8629
O -3.0530 -3.2871 3.8019
Mn 0.7463 -4.3904 6.5602
Mn -6.3341 -2.5273 3.9113
O -1.4472 2.2151 2.7539
O -5.9192 -3.5785 5.6558
Mn -3.6960 -4.3108 2.1328
O -3.6173 -6.1268 5.7401
Mn 1.3139 -1.3773 4.5702
O -4.2041 -3.2796 0.3878

=====

Entry 4:
11
Lattice="-4.4912 -3.4916 2.5956 -0.8964 -5.5074 -2.7373 3.0324 0.8978 4.5709" Properties=species:S:1:pos:R:3 comment="RbLi2Mn2O6 GGA+U relaxed" final_energy_ev_per_atom=-5.888 spacegroup=P-1 pbc="T T T"
O -3.1467 -8.0571 3.0127
O -3.9461 -5.7115 1.7369
Mn -2.1449 -4.2211 4.9784
Li -2.7916 -4.1604 2.2880
Mn -0.2103 -3.8801 -0.5492
Rb -0.7294 -1.2969 3.5832
O 1.5910 -2.3896 2.6922
Li 0.4365 -3.9407 2.1411
O -1.1475 -4.2765 3.5472
O 0.7916 -0.0441 1.4164
O -1.2076 -3.8247 0.8820

=====

Entry 5:
16
Lattice="-3.3922 -2.9923 1.8138 -3.2252 -3.0924 -4.5862 5.2067 -9.1398 1.2067" Properties=species:S:1:pos:R:3 comment="Rb2LiMnO4 GGA+U relaxed" final_energy_ev_per_atom=-5.365 spacegroup=Fddd pbc="T T T"
O -0.8236 -13.4183 -1.1894
O -1.4764 -7.0866 -1.7855
Li 0.0000 0.0000 0.0000
Mn 0.1427 -6.8642 -1.2363
O -2.0615 -3.1068 0.4121
Rb 0.8340 -11.0040 -0.2257
Rb -1.0048 -5.6359 1.9175
O -3.3022 -4.3661 -3.1300
Mn -1.6961 -1.4961 0.9069
O -2.1405 -10.1666 -0.7056
Rb -3.9408 -5.7167 -0.4331
Li -1.5534 -8.3603 -0.3294
O 0.5081 -5.2535 -0.7415
O 0.2874 -7.9424 0.1013
Rb 2.8193 -6.4962 1.1030
O 3.3659 -9.5578 0.7760

=====

Entry 6:
11
Lattice="-4.3587 -2.2799 -1.8794 4.3792 -2.8304 0.7345 -1.4374 0.6610 4.9444" Properties=species:S:1:pos:R:3 comment="Li2MnRh2O6 GGA+U relaxed" final_energy_ev_per_atom=-6.337 spacegroup=C2/m pbc="T T T"
Rh 0.7138 -2.3143 2.3252
Mn -0.7187 0.3305 2.4722
O 1.1343 -3.8168 0.9688
Li 2.8929 -2.7368 0.2899
O -0.3956 -1.0139 1.1087
O -2.5512 -0.6326 2.8307
Rh -2.1308 -2.1350 1.4743
O 0.4934 -0.8244 3.7415
O -1.9103 -3.6249 0.0580
Li -2.8724 -2.3735 -1.4347
O -1.0214 -3.4354 2.6908

=====

Entry 7:
10
Lattice="-0.8672 2.7399 -4.1732 1.5332 -1.7093 -4.5158 -3.8527 -1.8101 -3.4640" Properties=species:S:1:pos:R:3 comment="LiMn2RhO6 GGA+U relaxed" final_energy_ev_per_atom=-6.706 spacegroup=R3 pbc="T T T"
Li -1.7466 -0.2445 -9.0252
O -3.3562 0.4300 -6.2423
Mn -3.7367 -1.7487 -3.4481
O -2.4265 -1.6852 -4.8808
Mn -1.3413 -0.2568 -6.0411
O -2.1200 -1.5634 -7.5415
O -1.1033 0.8539 -4.4197
O 0.2884 -1.3785 -5.9345
O -0.7801 1.0372 -7.4317
Rh 0.1048 0.2818 -2.9127

=====

Entry 8:
5
Lattice="-0.1225 -2.5744 2.7443 -2.1945 -2.9459 -2.8615 3.3182 -1.3686 -1.1357" Properties=species:S:1:pos:R:3 comment="LiMnRuO2 GGA+U relaxed" final_energy_ev_per_atom=-5.564 spacegroup=P4/mmm pbc="T T T"
O 1.6591 -0.6843 -0.5679
O -0.0613 -1.2872 1.3722
Li -1.0972 -1.4730 -1.4307
Ru 0.5006 -3.4445 -0.6264
Mn 0.0000 0.0000 0.0000

=====

Entry 9:
10
Lattice="5.1290 -0.0004 0.0018 2.5649 4.4419 0.0016 2.5634 1.4799 4.8361" Properties=species:S:1:pos:R:3 comment="LiMn2RuO6 GGA+U relaxed" final_energy_ev_per_atom=-6.954 spacegroup=R3 pbc="T T T"
O 4.2583 1.3246 1.0759
O 4.1472 4.5333 1.0766
Li 7.6930 4.4412 2.9869
O 5.7999 4.3801 3.7082
Mn 2.5635 1.4800 4.7130
O 6.0217 1.6694 3.7080
Mn 5.1283 2.9604 2.1010
O 3.5636 2.8325 3.7070
Ru 2.5646 1.4806 0.1161
O 6.9810 3.0250 1.0772

=====

Entry 10:
36
Lattice="-4.4284 2.0644 -7.7446 3.6177 -0.3109 -8.2465 -2.4638 -5.9649 -6.2839" Properties=species:S:1:pos:R:3 comment="LiMnS2O8 GGA+U relaxed" final_energy_ev_per_atom=-6.301 spacegroup=P1 pbc="T T T"
S -1.8851 1.1711 -10.0153
Mn -0.5602 -0.6266 -3.5070
S -3.7347 -3.6197 -8.5618
O -2.6361 -0.6999 -6.7488
O -1.2877 -3.8068 -12.9232
O 0.5550 0.8477 -13.5695
O -0.6304 -3.6206 -15.4526
S 0.4721 -0.6610 -13.6877
O -3.2002 1.8907 -10.3365
O -2.4806 -1.3876 -15.7414
Li -3.7933 -1.1014 -10.0086
Li -1.1060 -4.2043 -9.7565
O -3.8706 -5.0970 -8.7379
O -3.6650 -3.9685 -15.3095
O -2.3415 -3.1764 -8.6960
Mn -2.0929 -2.7603 -14.3551
O -2.1676 -0.1862 -9.5509
O -2.2200 -5.1521 -11.1790
O -5.7813 -2.0615 -12.1420
O 0.8642 -4.1994 -10.1034
O 1.3208 -1.2767 -12.5710
O -4.5421 -2.8973 -9.6004
S 1.4325 -2.9935 -9.3190
O -0.6775 -2.8786 -6.3616
O -4.1380 -0.2705 -11.9103
O -1.0705 1.0447 -11.2800
O -1.8503 -0.3597 -17.8057
Mn -2.7919 -3.6543 -18.9102
O -0.8962 -1.1276 -13.4404
S -1.5149 -5.2578 -12.5107
Li -1.0937 -1.4492 -7.7965
O 0.1635 0.0053 -7.2120
O -0.1838 -5.8592 -12.3094
S -4.6742 -1.3686 -12.8530
O 0.3074 -2.0934 -9.1843
O -3.5251 -2.3183 -12.9794

=====

Entry 11:
5
Lattice="3.8956 0.0000 0.0000 0.0000 3.8956 0.0000 0.0000 0.0000 4.2210" Properties=species:S:1:pos:R:3 comment="Li2MnSO GGA+U relaxed" final_energy_ev_per_atom=-5.508 spacegroup=P4/mmm pbc="T T T"
Li 0.0000 1.9478 0.0000
Mn 0.0000 0.0000 2.1105
O 0.0000 0.0000 0.0000
Li 1.9478 0.0000 0.0000
S 1.9478 1.9478 2.1105

=====

Entry 12:
38
Lattice="-0.4379 -7.1686 -3.6711 1.4360 -6.1810 4.9790 -7.4778 -4.3393 2.1154" Properties=species:S:1:pos:R:3 comment="Li2Mn2S3O12 GGA+U relaxed" final_energy_ev_per_atom=-6.466 spacegroup=C2/c pbc="T T T"
O -0.6082 -4.6278 -1.0248
O -0.7107 -1.5991 0.6364
O -5.8437 -7.4856 3.6241
Mn -7.2107 -12.7601 0.7364
O -1.9075 -13.8555 2.2950
S -5.9282 -10.3608 -1.5395
O -6.2111 -11.3598 -0.4972
O -5.2908 -9.1750 -0.9460
O -2.5413 -8.8451 0.4117
Li -3.4958 -12.8120 1.2944
O -1.4851 -10.3495 2.0329
O -5.7690 -16.0897 2.7869
S -4.5583 -7.5339 2.8058
Mn -2.5388 -10.0987 3.9855
Mn 0.7310 -4.9287 2.6869
O -1.0392 -5.0556 1.3319
O -5.4405 -12.6332 2.0914
O -2.8213 -11.2543 0.2112
S -5.2686 -12.1181 3.4830
Li -7.1012 -7.2458 1.4400
O -2.7194 -5.6399 -0.2705
O -3.7603 -12.0489 3.6938
S -1.2111 -5.5707 -0.0597
O -5.8715 -13.0610 4.4481
O -0.6690 -6.9215 -0.2135
O -0.6360 -10.2031 -0.2008
O -4.5722 -3.8333 1.1283
Mn -3.9409 -7.5900 -0.5622
O -4.9945 -7.3393 1.3904
S -1.9213 -10.1549 0.6175
S -0.5515 -7.3280 4.9628
O -0.2685 -6.3290 3.9205
Li 0.6215 -10.4430 1.9833
Li -2.9839 -4.8767 2.1289
O -3.9384 -8.8437 3.0116
O -5.8106 -10.7673 3.6368
O -1.1888 -8.5138 4.3693
O -3.6584 -6.4345 3.2121